AgP2 GGA-PBE optimized geometry; crystal system = monoclinic; E above lowest polymorph = 285 meV per atom; ΔH_f (0 K) = 0.285 eV per atom; SG = Cm
1.0
5.7255 -1.5748 0.0000
5.7255 1.5748 0.0000
-2.4708 0.0000 6.3597
Ag P
2 4
Cartesian
0.0000 0.0000 0.0000
7.4217 0.0000 2.3831
-0.4236 0.0000 4.9195
1.7141 0.0000 4.7571
5.0806 0.0000 3.0831
9.7722 0.0000 1.8518

***

RbMgIn2Pb4 GGA-PBE optimized geometry; crystal system = trigonal; ΔH_f (0 K) = -0.020 eV per atom; SG = R-3m
1.0
2.7406 1.5823 10.2625
-2.7406 1.5823 10.2625
0.0000 -3.1645 10.2625
Rb Mg In Pb
1 1 2 4
Cartesian
0.0000 0.0000 0.0000
0.0000 0.0000 15.3938
0.0000 0.0000 7.3669
0.0000 0.0000 23.4207
0.0000 0.0000 3.9977
0.0000 0.0000 12.4686
0.0000 0.0000 18.3190
0.0000 0.0000 26.7899

***

HfTiPb3 GGA-PBE optimized geometry; crystal system = cubic; E above lowest polymorph = 0 meV per atom; ΔH_f (0 K) = 0.772 eV per atom; SG = Pm-3m
1.0
5.3325 0.0000 0.0000
0.0000 5.3325 0.0000
0.0000 0.0000 5.3325
Hf Ti Pb
1 1 3
Cartesian
0.0000 0.0000 0.0000
2.6662 2.6662 2.6662
0.0000 2.6662 2.6662
2.6662 0.0000 2.6662
2.6662 2.6662 0.0000

***

Ce2SmIr GGA-PBE optimized geometry; crystal system = orthorhombic; E above lowest polymorph = 0 meV per atom; ΔH_f (0 K) = -0.424 eV per atom; SG = Pnma
1.0
14.3613 0.0000 0.0000
0.0000 9.8345 0.0000
0.0000 0.0000 6.0965
Ce Sm Ir
16 8 8
Cartesian
0.5233 0.5428 1.5105
0.5233 4.3745 1.5105
3.0556 5.5144 5.7110
3.0556 9.2374 5.7110
4.1250 0.5971 2.6627
4.1250 4.3201 2.6627
6.6573 5.4600 4.5587
6.6573 9.2917 4.5587
7.7040 0.5428 1.5377
7.7040 4.3745 1.5377
10.2362 5.5144 3.4337
10.2362 9.2374 3.4337
11.3057 0.5971 0.3855
11.3057 4.3201 0.3855
13.8379 5.4600 4.5860
13.8379 9.2917 4.5860
1.5010 2.4586 4.4960
2.0422 7.3759 2.7688
5.1384 2.4586 5.8170
5.6796 7.3759 1.4478
8.6817 2.4586 4.6487
9.2229 7.3759 0.2795
12.3191 2.4586 3.3277
12.8602 7.3759 1.6005
1.0074 7.3759 5.9564
2.5314 2.4586 1.3812
4.6492 7.3759 4.4294
6.1732 2.4586 2.9082
8.1881 7.3759 3.1883
9.7120 2.4586 1.6671
11.8299 7.3759 4.7153
13.3538 2.4586 0.1400

***

Na7AuO2 GGA-PBE optimized geometry; crystal system = orthorhombic; SG = Cmmm; E_form (uncorrected) = -70.0 kJ/mol of atoms
1.0
3.7982 -6.0915 0.0000
3.7982 6.0915 0.0000
0.0000 0.0000 4.5569
Na Au O
7 1 2
Cartesian
0.0000 0.0000 0.0000
2.3757 1.7506 0.0000
3.7982 3.6982 2.2785
2.3757 -1.7506 0.0000
5.2208 1.7506 0.0000
3.7982 -3.6982 2.2785
5.2208 -1.7506 0.0000
3.7982 0.0000 2.2785
3.7982 3.7259 0.0000
3.7982 -3.7259 0.0000

***

ScAl2Fe2 GGA-PBE optimized geometry; crystal system = tetragonal; E above lowest polymorph = 0 meV per atom; ΔH_f (0 K) = -0.236 eV per atom; SG = P4/mbm
1.0
7.1561 0.0000 0.0000
0.0000 7.1561 0.0000
0.0000 0.0000 2.7538
Sc Al Fe
2 4 4
Cartesian
0.0000 0.0000 0.0000
3.5780 3.5780 0.0000
1.0280 2.5500 1.3769
2.5500 6.1280 1.3769
4.6061 1.0280 1.3769
6.1280 4.6061 1.3769
1.0735 4.6515 0.0000
2.5046 1.0735 0.0000
4.6515 6.0826 0.0000
6.0826 2.5046 0.0000